Record 1
This record from OQMD describes a relaxed structure of RbLiTa. The functional is GGA-PBE.

CIF file:
```
data_RbLiTa
_chemical_formula_sum 'Rb4 Li4 Ta4'
_cell_length_a 7.531
_cell_length_b 7.531
_cell_length_c 7.531
_cell_angle_alpha 90.00
_cell_angle_beta 90.00
_cell_angle_gamma 90.00
_space_group_name_H-M_alt 'F -4 3 m'
_space_group_IT_number 216
_space_group_name_Hall 'F -4 2 3'
loop_
_atom_site_label
_atom_site_type_symbol
_atom_site_fract_x
_atom_site_fract_y
_atom_site_fract_z
Rb1 Rb 0.000 0.000 0.000
Li1 Li 0.250 0.250 0.250
Ta1 Ta 0.000 0.000 0.500
```


Record 2
This record from OQMD describes a relaxed structure of LiThTlS3. The functional is GGA-PBE.

CIF file:
```
data_LiThTlS3
_chemical_formula_sum 'Li4 Th4 Tl4 S12'
_cell_length_a 4.185
_cell_length_b 13.623
_cell_length_c 10.879
_cell_angle_alpha 90.00
_cell_angle_beta 90.00
_cell_angle_gamma 90.00
_space_group_name_H-M_alt 'C m c m'
_space_group_IT_number 63
_space_group_name_Hall '-C 2c 2'
loop_
_atom_site_label
_atom_site_type_symbol
_atom_site_fract_x
_atom_site_fract_y
_atom_site_fract_z
Li1 Li 0.000 0.047 0.250
Th1 Th 0.000 0.500 0.000
Tl1 Tl 0.000 0.233 0.750
S1 S 0.000 0.128 0.054
S2 S 0.000 0.449 0.250
```


no.,VASP energy (eV/atom)
1,-2.904
2,-5.433